PmNiF6 (PBE with a Hubbard U, optimized geometry); total magnetic moment = 3.1 Bohr magnetons per cell; space group = P-1 (2); final energy = -5.18 eV per atom; crystal system = triclinic
1.0
-0.7683 -4.1548 -3.2019
2.2680 -4.7736 1.2309
-3.5174 -4.1279 1.8873
F Pm Ni
6 1 1
Direct
0.8991 0.6535 0.2308 F
0.1009 0.3465 0.7692 F
0.3526 0.7738 0.7755 F
0.7767 0.0947 0.7694 F
0.6474 0.2262 0.2245 F
0.2233 0.9053 0.2306 F
0.5000 0.5000 0.5000 Pm
0.0000 0.0000 0.0000 Ni